1.
# RbGaGe

Crystalline RbGaGe at its relaxed geometry (PBE-GGA, Alexandria).

## Properties
DFT formation energy = -158 meV/atom

Cell lengths 4.3214, 7.2549, 7.2549 Å; angles 62.33, 72.67, 72.67 degrees
Positions (direct):
Rb  0.7479  0.2521  0.2521
Rb  0.2521  0.7479  0.7479
Ga  0.5000  0.8323  0.1677
Ga  0.5000  0.1677  0.8323
Ge  0.0000  0.3336  0.6664
Ge  0.0000  0.6664  0.3336

---

2.
# Ho5InSn2

Crystalline Ho5InSn2 at its relaxed geometry (PBE-GGA, Alexandria).

## Properties
DFT formation energy = -440 meV/atom

Cell lengths 6.7952, 6.7952, 6.6963 Å; angles 120.49, 120.49, 90.00 degrees
Positions (direct):
Ho  0.7221  0.2222  0.9442
Ho  0.2222  0.2221  0.9442
Ho  0.7221  0.7221  0.9443
Ho  0.2222  0.7221  0.9442
Ho  0.7222  0.7222  0.4444
In  0.2221  0.2221  0.4442
Sn  0.2221  0.7221  0.4442
Sn  0.7221  0.2221  0.4442

---

3.
# Rb2LaOsBr6

Crystalline Rb2LaOsBr6 at its relaxed geometry (PBE-GGA, Alexandria).

## Properties
raw formation energy = -1053 meV per atom

Cell lengths 7.6528, 7.6528, 8.0295 Å; angles 61.54, 61.54, 90.00 degrees
Positions (direct):
Os  0.0000  0.0000  0.0000
Br  0.2511  0.2511  0.4978
Br  0.7489  0.7489  0.5022
Br  0.2320  0.2320  0.0000
Br  0.7680  0.7680  0.0000
Br  0.7680  0.2320  0.0000
Br  0.2320  0.7680  0.0000
Rb  0.7500  0.2500  0.5000
Rb  0.2500  0.7500  0.5000
La  0.5000  0.5000  0.0000

---

4.
# B5C7

Crystalline B5C7 at its relaxed geometry (PBE-GGA, Alexandria).

## Properties
DFT formation energy = 372 meV/atom
energy relative to the lowest polymorph listed for this composition = 114.3 meV per atom

Cell lengths 6.9792, 7.3397, 7.3397 Å; angles 160.74, 140.64, 44.41 degrees
Positions (direct):
B  0.9927  0.3335  0.6591
B  0.4832  0.1728  0.3104
B  0.9947  0.0043  0.9904
B  0.4944  0.8352  0.6592
B  0.6416  0.6177  0.0239
C  0.6308  0.2921  0.3387
C  0.1128  0.1290  0.9839
C  0.6175  0.9624  0.6551
C  0.1263  0.7840  0.3422
C  0.0164  0.6689  0.3475
C  0.4940  0.4929  0.0011
C  0.1455  0.4571  0.6884

---

5.
# Be2Ga2NiPt5

Crystalline Be2Ga2NiPt5 at its relaxed geometry (PBE-GGA, Alexandria).

## Properties
DFT formation energy = -427 meV/atom

Cell lengths 3.4596, 8.9873, 8.9873 Å; angles 90.00, 90.00, 90.00 degrees
Positions (direct):
Be  0.0000  0.1280  0.6280
Be  0.0000  0.8720  0.3720
Be  0.0000  0.6280  0.8720
Be  0.0000  0.3720  0.1280
Ga  0.0000  0.6731  0.1731
Ga  0.0000  0.3269  0.8269
Ga  0.0000  0.1731  0.3269
Ga  0.0000  0.8269  0.6731
Ni  0.0000  0.0000  0.0000
Ni  0.0000  0.5000  0.5000
Pt  0.5000  0.1992  0.0860
Pt  0.5000  0.8008  0.9140
Pt  0.5000  0.0860  0.8008
Pt  0.5000  0.6992  0.4140
Pt  0.5000  0.9140  0.1992
Pt  0.5000  0.3008  0.5860
Pt  0.5000  0.5860  0.6992
Pt  0.5000  0.4140  0.3008
Pt  0.5000  0.5000  0.0000
Pt  0.5000  0.0000  0.5000

---

6.
# KLiAl

Crystalline KLiAl at its relaxed geometry (PBE-GGA, Alexandria).

## Properties
DFT formation energy = 741 meV/atom
energy relative to the lowest polymorph listed for this composition = 743.5 meV per atom

Cell lengths 5.5051, 5.5051, 5.5051 Å; angles 60.00, 60.00, 60.00 degrees
Positions (direct):
Al  0.5000  0.5000  0.5000
K  0.7500  0.7500  0.7500
Li  0.0000  0.0000  0.0000

---

7.
# GeSI3

Crystalline GeSI3 at its relaxed geometry (PBE-GGA, Alexandria).

## Properties
raw formation energy = 496 meV per atom
energy relative to the lowest polymorph listed for this composition = 0.0 meV per atom

Cell lengths 5.7585, 5.7585, 5.7585 Å; angles 90.00, 90.00, 90.00 degrees
Positions (direct):
I  0.0000  0.5000  0.0000
I  0.0000  0.0000  0.5000
I  0.5000  0.0000  0.0000
Ge  0.0000  0.0000  0.0000
S  0.5000  0.5000  0.5000

---

8.
# Sr2IrPt

Crystalline Sr2IrPt at its relaxed geometry (PBE-GGA, Alexandria).

## Properties
DFT formation energy = -209 meV/atom

Cell lengths 6.4832, 6.4832, 4.9550 Å; angles 67.89, 67.89, 31.67 degrees
Positions (direct):
Ir  0.5377  0.5377  0.4643
Pt  0.2085  0.2085  0.2895
Sr  0.9817  0.9817  0.0197
Sr  0.7721  0.7721  0.7265

---

9.
# Zr2HgPt

Crystalline Zr2HgPt at its relaxed geometry (PBE-GGA, Alexandria).

## Properties
DFT formation energy = -488 meV/atom

Cell lengths 5.0071, 3.0279, 5.2400 Å; angles 88.54, 90.00, 90.00 degrees
Positions (direct):
Hg  0.0000  0.6239  0.4410
Pt  0.5000  0.6278  0.8157
Zr  0.0000  0.0977  0.9264
Zr  0.5000  0.1507  0.3169

---

10.
# KLaSe

Crystalline KLaSe at its relaxed geometry (PBE-GGA, Alexandria).

## Properties
raw formation energy = -964 meV per atom
energy relative to the lowest polymorph listed for this composition = 41.0 meV per atom

Cell lengths 4.3030, 4.3030, 7.7436 Å; angles 90.00, 90.00, 120.00 degrees
Positions (direct):
K  0.0000  0.0000  0.9291
La  0.6667  0.3333  0.4305
Se  0.3333  0.6667  0.6405

---

11.
# LaLuS3

Crystalline LaLuS3 at its relaxed geometry (PBE-GGA, Alexandria).

## Properties
raw formation energy = -2149 meV per atom

Cell lengths 6.7369, 7.3418, 9.8972 Å; angles 90.00, 90.00, 90.00 degrees
Positions (direct):
La  0.5340  0.4086  0.7500
La  0.4660  0.5914  0.2500
La  0.0340  0.0914  0.2500
La  0.9660  0.9086  0.7500
Lu  0.0000  0.5000  0.0000
Lu  0.0000  0.5000  0.5000
Lu  0.5000  0.0000  0.5000
Lu  0.5000  0.0000  0.0000
S  0.8185  0.1889  0.5671
S  0.1815  0.8111  0.0671
S  0.3185  0.3111  0.0671
S  0.6815  0.6889  0.5671
S  0.8185  0.1889  0.9329
S  0.1815  0.8111  0.4329
S  0.3185  0.3111  0.4329
S  0.6815  0.6889  0.9329
S  0.8657  0.4532  0.2500
S  0.1343  0.5468  0.7500
S  0.3657  0.0468  0.7500
S  0.6343  0.9532  0.2500

---

12.
# EuDyPdAu

Crystalline EuDyPdAu at its relaxed geometry (PBE-GGA, Alexandria).

## Properties
DFT formation energy = -752 meV/atom

Cell lengths 5.1066, 5.1066, 5.1066 Å; angles 60.00, 60.00, 60.00 degrees
Positions (direct):
Eu  0.7500  0.7500  0.7500
Au  0.0000  0.0000  0.0000
Pd  0.5000  0.5000  0.5000
Dy  0.2500  0.2500  0.2500

---

Number 1: D(E_F) 1.80 states/eV per cell, volume 188.9 Å³/cell. Number 2: D(E_F) 9.20 states/eV per cell, volume 215.4 Å³/cell. Number 3: D(E_F) 0.00 states/eV per cell, volume 347.4 Å³/cell. Number 4: D(E_F) 2.17 states/eV per cell, volume 78.4 Å³/cell. Number 5: D(E_F) 13.55 states/eV per cell, volume 279.4 Å³/cell. Number 6: D(E_F) 2.66 states/eV per cell, volume 118.0 Å³/cell. Number 7: D(E_F) 6.72 states/eV per cell, volume 191.0 Å³/cell. Number 8: D(E_F) 2.66 states/eV per cell, volume 100.6 Å³/cell. Number 9: D(E_F) 3.23 states/eV per cell, volume 79.4 Å³/cell. Number 10: D(E_F) 3.59 states/eV per cell, volume 124.2 Å³/cell. Number 11: D(E_F) 0.00 states/eV per cell, volume 489.5 Å³/cell. Number 12: D(E_F) 9.07 states/eV per cell, volume 94.2 Å³/cell.